Here is a relaxed structure of TmZrSN from the Alexandria database. Energies are from PBE-GGA.

- Formation energy from raw total energies: -1.446 eV/atom
- Total magnetic moment: 0.0 μB/f.u.
- E_tot: -7.81 eV per atom

Lattice parameters (Å, degrees): 3.4255 3.4255 19.0875 90.00 90.00 120.00
Space group R3m (No. 160, hexagonal axes)
Unique sites:
Tm 0.0000 0.0000 0.0000 x3
Zr 0.0000 0.0000 0.8483 x3
S 0.0000 0.0000 0.4278 x3
N 0.0000 0.0000 0.5949 x3

=====

Here is a relaxed structure of PmNpIr2 from the Alexandria database. Energies are from PBE-GGA.

- Total magnetic moment: 3.4 μB/f.u.
- E above lowest polymorph: 0.065 eV/atom
- E_tot: -9.23 eV per atom
- ΔE_f: -8.7 kcal/mol of atoms

Lattice parameters (Å, degrees): 6.934 6.934 6.934 90.00 90.00 90.00
Space group Fm-3m (No. 225)
Unique sites:
Pm 0.000 0.000 0.000 x4
Np 0.000 0.000 0.500 x4
Ir 0.250 0.250 0.250 x8

=====

Here is a relaxed structure of Tm2ThTe4 from the Alexandria database. Energies are from PBE-GGA.

- Formation energy from raw total energies: -1.193 eV/atom
- Total magnetic moment: 0.0 μB/f.u.
- E_tot: -5.33 eV per atom

Lattice parameters (Å, degrees): 4.276 14.196 14.749 90.00 90.00 90.00
Space group Cmcm (No. 63)
Unique sites:
Tm 0.000 0.134 0.066 x8
Th 0.000 0.374 0.250 x4
Te 0.000 0.040 0.250 x4
Te 0.000 0.225 0.622 x8
Te 0.000 0.500 0.000 x4

=====

Here is a relaxed structure of CaAc8Pm5 from the Alexandria database. Energies are from PBE-GGA.

- Total magnetic moment: 0.0 μB/f.u.
- E_tot: -3.95 eV per atom
- ΔE_f: 5.4 kcal/mol of atoms

Lattice parameters (Å, degrees): 10.387 10.387 10.998 90.00 90.00 90.00
Space group I-4 (No. 82)
Unique sites:
Ca 0.000 0.000 0.000 x2
Ac 0.071 0.825 0.655 x8
Ac 0.090 0.677 0.996 x8
Pm 0.000 0.500 0.750 x2
Pm 0.104 0.699 0.321 x8

=====

Here is a relaxed structure of Nd2Mo2N5 from the Alexandria database. Energies are from PBE-GGA.

- Formation energy from raw total energies: -0.766 eV/atom
- Total magnetic moment: 0.0 μB/f.u.
- E_tot: -8.86 eV per atom

Lattice parameters (Å, degrees): 11.548 3.937 6.049 90.00 107.34 90.00
Space group C2/m (No. 12)
Unique sites:
Nd 0.113 0.000 0.307 x4
Mo 0.141 0.500 0.857 x4
N 0.000 0.500 0.000 x2
N 0.153 0.500 0.557 x4
N 0.179 0.000 0.961 x4